The following is a PBE calculation of GaGeSb2I after structural relaxation, from the Alexandria database.

Computed properties:
Relative energy among the computed polymorphs   165 meV/atom
ΔE_f (raw)   0.666 eV per atom
N(E_F)   5.90 states/eV/f.u.

Structure (POSCAR):
```
GaGeSb2I
1.0
5.358 0.000 0.000
0.000 5.358 0.000
0.000 0.000 5.477
Ga Ge Sb I
1 1 2 1
Direct
0.000 0.000 0.000
0.500 0.500 0.500
0.000 0.500 0.000
0.500 0.000 0.000
0.000 0.000 0.500
```

The following is a PBE calculation of Er2TeC after structural relaxation, from the Alexandria database.

Computed properties:
ΔE_f (raw)   -0.700 eV per atom
N(E_F)   0.32 states/eV/f.u.

Structure (POSCAR):
```
Er2TeC
1.0
3.795 0.000 0.000
0.000 6.517 0.000
0.000 0.000 7.243
Er Te C
4 2 2
Direct
0.250 0.011 0.185
0.250 0.489 0.185
0.750 0.511 0.815
0.750 0.989 0.815
0.250 0.250 0.571
0.750 0.750 0.429
0.250 0.750 0.940
0.750 0.250 0.060
```

The following is a PBE calculation of ZnBr after structural relaxation, from the Alexandria database.

Computed properties:
ΔE_f (raw)   -0.093 eV per atom
N(E_F)   0.78 states/eV/f.u.

Structure (POSCAR):
```
ZnBr
1.0
3.987 0.000 0.000
-1.994 3.453 0.000
0.000 0.000 8.576
Zn Br
2 2
Direct
0.333 0.667 0.000
0.667 0.333 0.500
0.333 0.667 0.317
0.667 0.333 0.817
```

The following is a PBE calculation of Tm12CoSn6 after structural relaxation, from the Alexandria database.

Computed properties:
DFT formation energy   -353 meV per atom
N(E_F)   16.11 states/eV/f.u.

Structure (POSCAR):
```
Tm12CoSn6
1.0
6.449 3.723 3.995
-6.449 3.723 3.995
0.000 -7.447 3.995
Tm Co Sn
12 1 6
Direct
0.010 0.946 0.693
0.054 0.307 0.990
0.199 0.554 0.423
0.307 0.990 0.054
0.423 0.199 0.554
0.446 0.577 0.801
0.554 0.423 0.199
0.577 0.801 0.446
0.693 0.010 0.946
0.801 0.446 0.577
0.946 0.693 0.010
0.990 0.054 0.307
0.000 0.000 0.000
0.121 0.312 0.644
0.312 0.644 0.121
0.356 0.879 0.688
0.644 0.121 0.312
0.688 0.356 0.879
0.879 0.688 0.356
```

The following is a PBE calculation of Cs2ScCl after structural relaxation, from the Alexandria database.

Computed properties:
Relative energy among the computed polymorphs   0 meV/atom
ΔE_f (raw)   -0.146 eV per atom
N(E_F)   4.53 states/eV/f.u.

Structure (POSCAR):
```
Cs2ScCl
1.0
10.063 0.000 0.000
0.000 10.063 0.000
0.000 0.000 9.696
Cs Sc Cl
8 4 4
Direct
0.175 0.750 0.125
0.250 0.175 0.875
0.250 0.325 0.375
0.325 0.750 0.625
0.675 0.250 0.625
0.750 0.675 0.375
0.750 0.825 0.875
0.825 0.250 0.125
0.000 0.000 0.500
0.000 0.500 0.750
0.500 0.000 0.250
0.500 0.500 0.000
0.000 0.000 0.000
0.000 0.500 0.250
0.500 0.000 0.750
0.500 0.500 0.500
```

The following is a PBE calculation of Ca2TeRu after structural relaxation, from the Alexandria database.

Computed properties:
ΔE_f (raw)   -0.444 eV per atom
N(E_F)   0.41 states/eV/f.u.

Structure (POSCAR):
```
Ca2TeRu
1.0
4.683 0.000 0.000
0.000 3.802 0.000
-2.335 0.000 5.869
Ca Te Ru
2 1 1
Direct
0.000 0.000 0.000
0.295 0.500 0.589
0.592 0.500 0.184
0.746 0.000 0.490
```